1.
The following is a DFT calculation (PBE-GGA) of a relaxed Mn5FeP3 crystal.

The structure belongs to space group Cmcm (No. 63); the cell edges are 3.816, 12.460 and 9.802 Å and the angles 90.00°, 90.00° and 90.00°. The asymmetric unit holds Mn at (0.000, 0.000, 0.000), Mn at (0.000, 0.192, 0.060), Mn at (0.000, 0.455, 0.631), Fe at (0.000, 0.271, 0.750), P at (0.000, 0.082, 0.250) and P at (0.000, 0.369, 0.072).

The crystal system is orthorhombic. The calculation puts the energy of formation at -0.204 eV per atom.


2.
The following is a DFT calculation (PBE-GGA) of a relaxed La2BiPtF crystal.

The structure belongs to space group P4/mmm (No. 123); the cell edges are 4.888, 4.888 and 5.255 Å and the angles 90.00°, 90.00° and 90.00°. The asymmetric unit holds La at (0.000, 0.500, 0.000), Bi at (0.000, 0.000, 0.500), Pt at (0.500, 0.500, 0.500) and F at (0.000, 0.000, 0.000).

The crystal system is tetragonal. For the formation energy from raw total energies, the calculation gives -1047 meV per atom.


3.
The following is a DFT calculation (PBE-GGA) of a relaxed TaCdAsW2 crystal.

The structure belongs to space group P4/mmm (No. 123); the cell edges are 4.941, 4.941 and 4.862 Å and the angles 90.00°, 90.00° and 90.00°. The asymmetric unit holds Ta at (0.000, 0.000, 0.000), Cd at (0.500, 0.500, 0.500), As at (0.000, 0.000, 0.500) and W at (0.000, 0.500, 0.000).

The crystal system is tetragonal. The calculation puts the energy of formation at 1.812 eV per atom.